Entry 1:
# Zn5Re4 | the Alexandria database | PBE | relaxed
# DOS(E_F) in states/eV/atom: 0.605
# Calculated formation energy in eV per atom: 0.23
data_Zn5Re4
_cell_length_a 9.494
_cell_length_b 9.494
_cell_length_c 2.943
_cell_angle_alpha 90.00
_cell_angle_beta 90.00
_cell_angle_gamma 90.00
_space_group_name_H-M_alt 'I 4/m m m'
_space_group_IT_number 139
_space_group_name_Hall '-I 4 2'
loop_
_atom_site_label
_atom_site_type_symbol
_atom_site_fract_x
_atom_site_fract_y
_atom_site_fract_z
Zn1 Zn 0.000 0.000 0.000
Zn2 Zn 0.168 0.168 0.500
Re1 Re 0.000 0.337 0.000

***

Entry 2:
# NaGaPC | the Alexandria database | PBE | relaxed
# DOS(E_F) in states/eV/atom: 0.307
# Calculated formation energy in eV per atom: 0.19
data_NaGaPC
_cell_length_a 2.919
_cell_length_b 3.251
_cell_length_c 13.855
_cell_angle_alpha 90.00
_cell_angle_beta 90.00
_cell_angle_gamma 90.00
_space_group_name_H-M_alt 'I m m 2'
_space_group_IT_number 44
loop_
_space_group_symop_operation_xyz
'x,y,z'
'-x,-y,z'
'-x,y,z'
'x,-y,z'
'x+1/2,y+1/2,z+1/2'
'-x+1/2,-y+1/2,z+1/2'
'-x+1/2,y+1/2,z+1/2'
'x+1/2,-y+1/2,z+1/2'
loop_
_atom_site_label
_atom_site_type_symbol
_atom_site_fract_x
_atom_site_fract_y
_atom_site_fract_z
Na1 Na 0.000 0.000 0.000
Ga1 Ga 0.000 0.000 0.671
P1 P 0.000 0.000 0.344
C1 C 0.000 0.500 0.770